Below is Cs5B2As5 after structural relaxation, with properties calculated at the PBE level.

a b c (Å): 21.1190 4.1308 13.1223
angles (deg): 90.00 124.14 90.00
Closest atoms and distances in Å follow each position.
Space group C2/m (No. 12)
One atom of each set of equivalent atoms:
Cs: 0.0000 0.0000 0.0000 x2  6 As 3.54-3.74
Cs: 0.1215 0.5000 0.4410 x4  5 As 3.68-3.97, 3 B 3.79-3.95
Cs: 0.1442 0.5000 0.7776 x4  6 As 3.79-3.85, 2 B 3.89, 3 Cs 4.13-4.17
B: 0.2189 0.5000 0.2711 x4  3 As 1.97-2.13
As: 0.0000 0.0000 0.5000 x2  8 Cs 3.70-3.79, 2 As 4.13
As: 0.1716 0.5000 0.0918 x4  1 B 1.97
As: 0.1910 0.0000 0.2621 x4  2 B 2.13

VASP energy: -3.326 eV per atom
spin magnetization: 0.0 μB/cell
E_form: 1.0 eV per formula unit